Mn2CuHOs (PBE-GGA, relaxed); spin magnetization = 4.321 μB/f.u.; DOS at the Fermi energy = 4.8 states/eV per cell; total DFT energy (no corrections) = -7.185 eV/atom
1.0
3.725 0.000 0.000
0.000 3.725 0.000
0.000 0.000 3.791
H Mn Os Cu
1 2 1 1
Direct
0.000 0.000 0.000
0.000 0.500 0.000
0.500 0.000 0.000
0.000 0.000 0.500
0.500 0.500 0.500



Cd3InGa2 (PBE-GGA, relaxed); spin magnetization = 0.000 μB/f.u.; DOS at the Fermi energy = 2.4 states/eV per cell; total DFT energy (no corrections) = -1.879 eV/atom; energy relative to the elements = 25 kJ/mol of formula units
1.0
-4.434 2.631 1.959
-1.715 -4.570 2.256
3.198 3.426 2.637
Cd In Ga
3 1 2
Direct
0.500 0.349 0.012
0.500 0.012 0.349
0.500 0.673 0.673
0.000 0.991 0.991
0.000 0.660 0.322
0.000 0.322 0.660



Cr3CdNi (PBE-GGA, relaxed); spin magnetization = 13.081 μB/f.u.; DOS at the Fermi energy = 8.8 states/eV per cell; total DFT energy (no corrections) = -5.132 eV/atom; energy relative to the elements = 956 kJ/mol of formula units
1.0
4.998 0.000 0.000
0.000 4.998 0.000
0.000 0.000 4.998
Ni Cr Cd
1 3 1
Direct
0.500 0.500 0.500
0.000 0.500 0.000
0.000 0.000 0.500
0.500 0.000 0.000
0.000 0.000 0.000



Tb3Ga12Au (PBE-GGA, relaxed); spin magnetization = 0.000 μB/f.u.; DOS at the Fermi energy = 4.4 states/eV per cell; total DFT energy (no corrections) = -3.743 eV/atom; energy relative to the elements = -618 kJ/mol of formula units
1.0
4.295 0.000 0.000
0.000 4.295 0.000
0.000 0.000 16.788
Tb Ga Au
3 12 1
Direct
0.000 0.000 0.243
0.000 0.000 0.500
0.000 0.000 0.757
0.500 0.500 0.000
0.500 0.500 0.253
0.500 0.500 0.500
0.500 0.500 0.747
0.500 0.000 0.112
0.500 0.000 0.372
0.500 0.000 0.628
0.500 0.000 0.888
0.000 0.500 0.112
0.000 0.500 0.372
0.000 0.500 0.628
0.000 0.500 0.888
0.000 0.000 0.000



PmZr2ScN4 (PBE-GGA, relaxed); spin magnetization = 0.000 μB/f.u.; formation energy without anion corrections = -1.658 eV per atom; DOS at the Fermi energy = 5.7 states/eV per cell; total DFT energy (no corrections) = -9.343 eV/atom
1.0
6.670 0.002 -0.005
-0.002 6.670 -0.005
-3.305 -3.307 4.721
Pm Zr Sc N
2 4 2 8
Direct
0.000 0.500 0.000
0.000 0.500 0.500
0.500 0.000 0.000
0.500 0.000 0.500
0.000 0.000 0.500
0.500 0.500 0.000
0.500 0.500 0.500
0.000 0.000 0.000
0.270 0.769 0.019
0.731 0.230 0.481
0.269 0.770 0.519
0.730 0.231 0.981
0.741 0.759 0.001
0.741 0.759 0.499
0.259 0.241 0.501
0.259 0.241 0.999



Cs2Rb10Au3 (PBE-GGA, relaxed); spin magnetization = 0.000 μB/f.u.; DOS at the Fermi energy = 24.5 states/eV per cell; total DFT energy (no corrections) = -1.523 eV/atom; energy relative to the elements = -158 kJ/mol of formula units
1.0
9.583 0.000 -3.119
-1.678 12.536 -5.157
0.466 0.279 17.714
Cs Rb Au
4 20 6
Direct
0.738 0.305 0.475
0.262 0.695 0.525
0.626 0.747 0.253
0.374 0.253 0.747
0.655 0.950 0.780
0.125 0.950 0.780
0.345 0.050 0.220
0.875 0.050 0.220
0.622 0.565 0.732
0.111 0.565 0.732
0.378 0.435 0.268
0.889 0.435 0.268
0.986 0.807 0.972
0.014 0.193 0.028
0.876 0.250 0.752
0.124 0.750 0.248
0.767 0.701 0.534
0.233 0.299 0.466
0.485 0.817 0.971
0.515 0.183 0.029
0.764 0.500 0.000
0.236 0.500 0.000
0.500 0.000 0.500
0.000 0.000 0.500
0.931 0.528 0.861
0.069 0.472 0.139
0.817 0.974 0.634
0.183 0.026 0.366
0.755 0.000 0.000
0.245 0.000 0.000



- Which of these has the lowest DOS at the Fermi energy?
  Cd3InGa2